# 1
The following is a DFT calculation (PBE) of an optimized crystal structure of Tm4Ir2Os.

For the calculated density, the calculation gives 13.69 g/cm3. Its formation enthalpy at 0 K is -0.66 eV/atom. For the total energy, the calculation gives -7.35 eV/atom. The calculation puts the magnetic moment at 0.0 μB per cell.

Lattice parameters (Å, degrees): 4.7632 4.7632 23.1649 90.00 90.00 120.00
Space group R-3m (No. 166, hexagonal axes)
Inequivalent atoms, fractional coordinates:
Tm: 0.0000 0.0000 0.1250
Tm: 0.0000 0.0000 0.3755
Ir: 0.0000 0.0000 0.2500
Os: 0.0000 0.0000 0.0000

***

# 2
The following is a DFT calculation (PBE) of an optimized crystal structure of Y2CdNi.

For the calculated density, the calculation gives 6.07 g/cm3. Its formation enthalpy at 0 K is -0.25 eV/atom. For the total energy, the calculation gives -5.16 eV/atom. The calculation puts the magnetic moment at 0.0 μB per cell.

Lattice parameters (Å, degrees): 3.8113 4.5680 5.7998 90.00 109.08 90.00
Space group Pm (No. 6)
Inequivalent atoms, fractional coordinates:
Y: 0.0000 0.0000 0.0000
Y: 0.2877 0.5000 0.5774
Cd: 0.5724 0.5000 0.1450
Ni: 0.7221 0.0000 0.4421

***

# 3
The following is a DFT calculation (PBE) of an optimized crystal structure of Ba2SnSbPt6.

For the calculated density, the calculation gives 11.34 g/cm3. For the total energy, the calculation gives -5.46 eV/atom. The energy relative to the elements, uncorrected is -641 meV/atom. The calculation puts the magnetic moment at 0.0 μB per cell.

Lattice parameters (Å, degrees): 13.0861 5.7404 8.9175 90.00 132.55 90.00
Space group C2/m (No. 12)
Inequivalent atoms, fractional coordinates:
Ba: 0.2486 0.0000 0.1969
Sn: 0.0000 0.5000 0.0000
Sb: 0.0000 0.0000 0.5000
Pt: 0.0320 0.2534 0.2850
Pt: 0.2491 0.5000 0.3852

***

# 4
The following is a DFT calculation (PBE) of an optimized crystal structure of Hf2MoRu2.

For the calculated density, the calculation gives 12.40 g/cm3. The energy relative to the lowest polymorph listed for this composition is 0.000 eV per atom. Its formation enthalpy at 0 K is -0.11 eV/atom. For the total energy, the calculation gives -9.96 eV/atom. The calculation puts the magnetic moment at 0.0 μB per cell.

Lattice parameters (Å, degrees): 7.3716 7.3716 3.2293 90.00 90.00 90.00
Space group P4/mbm (No. 127)
Inequivalent atoms, fractional coordinates:
Hf: 0.1668 0.3332 0.0000
Mo: 0.0000 0.0000 0.5000
Ru: 0.1345 0.6345 0.5000